# La4P2N | Alexandria | PBE-GGA | relaxed
data_La4P2N
_symmetry_space_group_name_H-M 'I 4/m m m'
_symmetry_Int_Tables_number 139
_symmetry_space_group_name_Hall '-I 4 2'
_cell_length_a 4.732
_cell_length_b 4.732
_cell_length_c 16.426
_cell_angle_alpha 90.00
_cell_angle_beta 90.00
_cell_angle_gamma 90.00
loop_
_atom_site_label
_atom_site_type_symbol
_atom_site_fract_x
_atom_site_fract_y
_atom_site_fract_z
_atom_site_occupancy
La1 La 0.000 0.000 0.179 1
La2 La 0.000 0.500 0.000 1
P1 P 0.000 0.000 0.361 1
N1 N 0.000 0.000 0.500 1
# Energy above the lowest structure with this stoichiometry (eV/atom): 0.438
# Energy relative to the elements, uncorrected (meV/atom): -664
# Energy (eV per atom): -6.215
# DOS(E_F) (states/eV/cell): 14.6
# Total moment (μB/f.u.): 0.0